[1]
{"formula": "TbPaMo", "functional": "GGA-PBE", "state": "optimized geometry", "e_form_kj_per_mol_atoms": 47, "cell": [[6.811, 0.000, 0.000], [0.000, 6.811, 0.000], [0.000, 0.000, 6.811]], "species": ["Tb", "Tb", "Tb", "Tb", "Pa", "Pa", "Pa", "Pa", "Mo", "Mo", "Mo", "Mo"], "frac_coords": [[0.000, 0.000, 0.000], [0.000, 0.500, 0.500], [0.500, 0.000, 0.500], [0.500, 0.500, 0.000], [0.000, 0.000, 0.500], [0.000, 0.500, 0.000], [0.500, 0.000, 0.000], [0.500, 0.500, 0.500], [0.250, 0.250, 0.750], [0.250, 0.750, 0.250], [0.750, 0.250, 0.250], [0.750, 0.750, 0.750]]}



[2]
{"formula": "Dy3ErTl2N2", "functional": "GGA-PBE", "state": "optimized geometry", "cell": [[3.523, 0.000, 0.000], [-1.761, 3.051, 0.000], [0.000, 0.000, 15.731]], "species": ["Dy", "Dy", "Dy", "Er", "Tl", "Tl", "N", "N"], "frac_coords": [[0.000, 0.000, 0.000], [0.000, 0.000, 0.332], [0.667, 0.333, 0.831], [0.667, 0.333, 0.500], [0.000, 0.000, 0.665], [0.667, 0.333, 0.166], [0.333, 0.667, 0.418], [0.333, 0.667, 0.916]]}



[3]
{"formula": "ZnInFe2", "functional": "GGA-PBE", "state": "optimized geometry", "cell": [[6.152, 0.000, 0.000], [0.000, 6.152, 0.000], [0.000, 0.000, 6.152]], "species": ["Zn", "Zn", "Zn", "Zn", "In", "In", "In", "In", "Fe", "Fe", "Fe", "Fe", "Fe", "Fe", "Fe", "Fe"], "frac_coords": [[0.000, 0.000, 0.000], [0.000, 0.000, 0.500], [0.000, 0.500, 0.000], [0.500, 0.000, 0.000], [0.000, 0.500, 0.500], [0.500, 0.000, 0.500], [0.500, 0.500, 0.000], [0.500, 0.500, 0.500], [0.228, 0.228, 0.228], [0.228, 0.228, 0.772], [0.228, 0.772, 0.228], [0.228, 0.772, 0.772], [0.772, 0.228, 0.228], [0.772, 0.228, 0.772], [0.772, 0.772, 0.228], [0.772, 0.772, 0.772]]}



[4]
{"formula": "PmPrNO", "functional": "GGA-PBE", "state": "optimized geometry", "cell": [[3.977, 0.000, 0.000], [0.000, 6.891, 0.000], [0.000, 0.000, 5.932]], "species": ["Pm", "Pm", "Pr", "Pr", "N", "N", "O", "O"], "frac_coords": [[0.000, 0.167, 0.000], [0.000, 0.833, 0.500], [0.500, 0.336, 0.498], [0.500, 0.664, 0.998], [0.500, 0.329, 0.903], [0.500, 0.671, 0.403], [0.000, 0.161, 0.389], [0.000, 0.839, 0.889]]}



[5]
{"formula": "NbCu2", "functional": "GGA-PBE", "state": "optimized geometry", "e_form_kj_per_mol_atoms": 11, "cell": [[0.000, 3.468, 3.468], [3.468, 0.000, 3.468], [3.468, 3.468, 0.000]], "species": ["Nb", "Nb", "Cu", "Cu", "Cu", "Cu"], "frac_coords": [[0.125, 0.125, 0.125], [0.875, 0.875, 0.875], [0.000, 0.500, 0.500], [0.500, 0.000, 0.500], [0.500, 0.500, 0.000], [0.500, 0.500, 0.500]]}



[6]
{"formula": "ErGeAu", "functional": "GGA-PBE", "state": "optimized geometry", "cell": [[7.286, 0.000, 0.000], [-3.643, 6.310, 0.000], [0.000, 0.000, 4.101]], "species": ["Er", "Er", "Er", "Ge", "Ge", "Ge", "Au", "Au", "Au"], "frac_coords": [[0.000, 0.601, 0.000], [0.399, 0.399, 0.000], [0.601, 0.000, 0.000], [0.000, 0.265, 0.500], [0.265, 0.000, 0.500], [0.735, 0.735, 0.500], [0.000, 0.000, 0.000], [0.333, 0.667, 0.500], [0.667, 0.333, 0.500]]}



[7]
{"formula": "Dy2AgSe3", "functional": "GGA-PBE", "state": "optimized geometry", "cell": [[8.855, 0.000, 0.000], [0.000, 3.940, 0.000], [0.000, 0.000, 16.374]], "species": ["Dy", "Dy", "Dy", "Dy", "Dy", "Dy", "Dy", "Dy", "Ag", "Ag", "Ag", "Ag", "Se", "Se", "Se", "Se", "Se", "Se", "Se", "Se", "Se", "Se", "Se", "Se"], "frac_coords": [[0.121, 0.250, 0.210], [0.167, 0.250, 0.945], [0.333, 0.750, 0.445], [0.379, 0.750, 0.710], [0.621, 0.250, 0.290], [0.667, 0.250, 0.555], [0.833, 0.750, 0.055], [0.879, 0.750, 0.790], [0.050, 0.250, 0.559], [0.450, 0.750, 0.059], [0.550, 0.250, 0.941], [0.950, 0.750, 0.441], [0.123, 0.250, 0.767], [0.126, 0.250, 0.385], [0.154, 0.750, 0.077], [0.346, 0.250, 0.577], [0.374, 0.750, 0.885], [0.377, 0.750, 0.267], [0.623, 0.250, 0.733], [0.626, 0.250, 0.115], [0.654, 0.750, 0.423], [0.846, 0.250, 0.923], [0.874, 0.750, 0.615], [0.877, 0.750, 0.233]]}



[8]
{"formula": "GdScPa", "functional": "GGA-PBE", "state": "optimized geometry", "e_form_kj_per_mol_atoms": 95, "cell": [[7.220, 0.000, 0.000], [0.000, 7.220, 0.000], [0.000, 0.000, 7.220]], "species": ["Gd", "Gd", "Gd", "Gd", "Sc", "Sc", "Sc", "Sc", "Pa", "Pa", "Pa", "Pa"], "frac_coords": [[0.000, 0.000, 0.000], [0.000, 0.500, 0.500], [0.500, 0.000, 0.500], [0.500, 0.500, 0.000], [0.250, 0.250, 0.250], [0.250, 0.750, 0.750], [0.750, 0.250, 0.750], [0.750, 0.750, 0.250], [0.000, 0.000, 0.500], [0.000, 0.500, 0.000], [0.500, 0.000, 0.000], [0.500, 0.500, 0.500]]}



[9]
{"formula": "TmLu6I", "functional": "GGA-PBE", "state": "optimized geometry", "cell": [[6.932, 0.000, 0.000], [-3.466, 6.003, 0.000], [0.000, 0.000, 5.553]], "species": ["Tm", "Lu", "Lu", "Lu", "Lu", "Lu", "Lu", "I"], "frac_coords": [[0.000, 0.000, 0.000], [0.001, 0.500, 0.000], [0.166, 0.332, 0.500], [0.166, 0.834, 0.500], [0.500, 0.500, 0.000], [0.500, 0.999, 0.000], [0.668, 0.834, 0.500], [0.667, 0.333, 0.500]]}



[10]
{"formula": "SrScPd2", "functional": "GGA-PBE", "state": "optimized geometry", "cell": [[6.853, 0.000, 0.000], [0.000, 6.853, 0.000], [0.000, 0.000, 6.853]], "species": ["Sr", "Sr", "Sr", "Sr", "Sc", "Sc", "Sc", "Sc", "Pd", "Pd", "Pd", "Pd", "Pd", "Pd", "Pd", "Pd"], "frac_coords": [[0.000, 0.000, 0.000], [0.000, 0.500, 0.500], [0.500, 0.000, 0.500], [0.500, 0.500, 0.000], [0.250, 0.250, 0.750], [0.250, 0.750, 0.250], [0.750, 0.250, 0.250], [0.750, 0.750, 0.750], [0.000, 0.000, 0.500], [0.000, 0.500, 0.000], [0.250, 0.250, 0.250], [0.250, 0.750, 0.750], [0.500, 0.000, 0.000], [0.500, 0.500, 0.500], [0.750, 0.250, 0.750], [0.750, 0.750, 0.250]]}



[11]
{"formula": "BaLiSnAu", "functional": "GGA-PBE", "state": "optimized geometry", "cell": [[7.445, 0.000, 0.000], [0.000, 7.445, 0.000], [0.000, 0.000, 7.445]], "species": ["Ba", "Ba", "Ba", "Ba", "Li", "Li", "Li", "Li", "Sn", "Sn", "Sn", "Sn", "Au", "Au", "Au", "Au"], "frac_coords": [[0.000, 0.000, 0.000], [0.000, 0.500, 0.500], [0.500, 0.000, 0.500], [0.500, 0.500, 0.000], [0.250, 0.250, 0.750], [0.250, 0.750, 0.250], [0.750, 0.250, 0.250], [0.750, 0.750, 0.750], [0.250, 0.250, 0.250], [0.250, 0.750, 0.750], [0.750, 0.250, 0.750], [0.750, 0.750, 0.250], [0.000, 0.000, 0.500], [0.000, 0.500, 0.000], [0.500, 0.000, 0.000], [0.500, 0.500, 0.500]]}



[12]
{"formula": "AlTcNO", "functional": "GGA-PBE", "state": "optimized geometry", "cell": [[5.201, 0.000, 0.000], [0.000, 6.715, 0.000], [0.000, 0.000, 4.914]], "species": ["Al", "Al", "Al", "Al", "Tc", "Tc", "Tc", "Tc", "N", "N", "N", "N", "O", "O", "O", "O"], "frac_coords": [[0.104, 0.101, 0.000], [0.396, 0.101, 0.500], [0.604, 0.899, 0.000], [0.896, 0.899, 0.500], [0.067, 0.571, 0.037], [0.433, 0.571, 0.537], [0.567, 0.429, 0.037], [0.933, 0.429, 0.537], [0.063, 0.127, 0.629], [0.437, 0.127, 0.129], [0.563, 0.873, 0.629], [0.937, 0.873, 0.129], [0.075, 0.698, 0.648], [0.425, 0.698, 0.148], [0.575, 0.302, 0.648], [0.925, 0.302, 0.148]]}



Short version: DFT total energy = -7.84, -5.97, -4.93, -7.61, -5.73, -4.85, -5.06, -5.84, -4.15, -4.84, -3.13, -7.86 eV/atom, in the order given.